A plane-wave DFT calculation with meta-GGA SCAN was carried out for a PBEsol-optimized structure of Cr2Os.

The formation energy from the elements is 0.007 eV/atom. Its crystal system is hexagonal. The magnetization comes out at 0.00 μB/atom. The electronic total energy is -36.21 eV per atom.

The space group is P6_3/mmc (No. 194) and the conventional cell measures 4.6682, 4.6682 and 15.1974 Å, with angles of 90.00, 90.00 and 120.00 degrees. The distinct sites, in fractional coordinates, are Cr at (0.0000, 0.5000, 0.0000), Cr at (0.1627, 0.3254, 0.2500), Cr at (0.3333, 0.6667, 0.1247), Os at (0.0000, 0.0000, 0.0938) and Os at (0.3333, 0.6667, 0.6566).